Ta2Fe5Co2Si: relaxed, PBE-GGA.

Summary:
The crystal system is tetragonal. The calculation puts the total energy at -0.31818 Ha/atom. For the uncorrected formation energy, the calculation gives -0.09 eV/atom.

a = 3.6642 Å, b = 8.2800 Å, c = 8.2800 Å
α = 90.00°, β = 90.00°, γ = 90.00°
Last column: nearest neighbours and their distance in Å.
Element x y z (fractional)
Ta  0.0000  0.6755  0.1755  3 Co 2.38-2.50
Ta  0.0000  0.3245  0.8245  3 Co 2.38-2.50
Ta  0.0000  0.1755  0.3245  3 Co 2.38-2.50
Ta  0.0000  0.8245  0.6755  3 Co 2.38-2.50
Fe  0.5000  0.2030  0.0631  2 Co 2.39, 3 Fe 2.49-2.51, 2 Si 2.54
Fe  0.5000  0.7970  0.9369  2 Co 2.39, 3 Fe 2.49-2.51, 2 Si 2.54
Fe  0.5000  0.0631  0.7970  2 Co 2.39, 3 Fe 2.49-2.51, 2 Si 2.54
Fe  0.5000  0.7030  0.4369  2 Co 2.39, 3 Fe 2.49-2.51, 2 Si 2.54
Fe  0.5000  0.9369  0.2030  2 Co 2.39, 3 Fe 2.49-2.51, 2 Si 2.54
Fe  0.5000  0.2970  0.5631  2 Co 2.39, 3 Fe 2.49-2.51, 2 Si 2.54
Fe  0.5000  0.5631  0.7030  2 Co 2.39, 3 Fe 2.49-2.51, 2 Si 2.54
Fe  0.5000  0.4369  0.2970  2 Co 2.39, 3 Fe 2.49-2.51, 2 Si 2.54
Fe  0.5000  0.5000  0.0000  4 Co 2.32, 4 Fe 2.51
Fe  0.5000  0.0000  0.5000  4 Co 2.32, 4 Fe 2.51
Co  0.0000  0.1210  0.6210  6 Fe 2.32-2.39, 3 Ta 2.38-2.50
Co  0.0000  0.8790  0.3790  6 Fe 2.32-2.39, 3 Ta 2.38-2.50
Co  0.0000  0.6210  0.8790  6 Fe 2.32-2.39, 3 Ta 2.38-2.50
Co  0.0000  0.3790  0.1210  6 Fe 2.32-2.39, 3 Ta 2.38-2.50
Si  0.0000  0.0000  0.0000  8 Fe 2.54
Si  0.0000  0.5000  0.5000  8 Fe 2.54


PrSmRhPb: relaxed, PBE-GGA.

Summary:
The crystal system is cubic. The calculation puts the total energy at -0.20484 Ha/atom. The calculation puts the formation enthalpy at 0 K at -434.5 meV/atom.

a = 5.3068 Å, b = 5.3068 Å, c = 5.3068 Å
α = 60.00°, β = 60.00°, γ = 60.00°
Last column: nearest neighbours and their distance in Å.
Element x y z (fractional)
Pb  0.2500  0.2500  0.2500  4 Pr 3.25, 4 Sm 3.25
Pr  0.5000  0.5000  0.5000  4 Rh 3.25, 4 Pb 3.25
Rh  0.7500  0.7500  0.7500  4 Pr 3.25, 4 Sm 3.25
Sm  0.0000  0.0000  0.0000  4 Rh 3.25, 4 Pb 3.25


LaSc2GaPt: relaxed, PBE-GGA.

Summary:
The crystal system is tetragonal. The calculation puts the total energy at -0.19952 Ha/atom. The calculation puts the formation enthalpy at 0 K at -97.7 meV/atom.

a = 5.1451 Å, b = 4.7448 Å, c = 5.1451 Å
α = 90.00°, β = 90.00°, γ = 90.00°
Last column: nearest neighbours and their distance in Å.
Element x y z (fractional)
Sc  0.0000  0.0000  0.5000  2 Ga 2.57
Sc  0.5000  0.0000  0.0000  2 Ga 2.57
Ga  0.0000  0.0000  0.0000  2 Pt 2.37, 4 Sc 2.57
Pt  0.0000  0.5000  0.0000  2 Ga 2.37
La  0.5000  0.5000  0.5000  8 Sc 3.50, 4 Pt 3.64